# 1
First-principles (PBE) data for an optimized crystal structure of Pm2Ge2Rh3, as listed in the Alexandria database.

E_tot: -6.6305 eV/atom
energy of formation from the pure elements: -0.80 eV per atom
Fermi-level density of states: 8.4 states/eV per cell

CIF file:
```
data_Pm2Ge2Rh3
_cell_length_a 10.780
_cell_length_b 3.818
_cell_length_c 7.147
_cell_angle_alpha 90.00
_cell_angle_beta 113.91
_cell_angle_gamma 90.00
_symmetry_space_group_name_H-M 'C 1 2/m 1'
_symmetry_Int_Tables_number 12
_symmetry_space_group_name_Hall '-C 2y'
loop_
_atom_site_label
_atom_site_fract_x
_atom_site_fract_y
_atom_site_fract_z
Pm1 0.123 0.000 0.266
Ge1 0.155 0.000 0.730
Rh1 0.000 0.500 0.500
Rh2 0.127 0.500 0.938
```

=====

# 2
First-principles (PBE) data for an optimized crystal structure of Ba2TeHPd, as listed in the Alexandria database.

E_tot: -3.3483 eV/atom
Fermi-level density of states: 2.3 states/eV per cell

CIF file:
```
data_Ba2TeHPd
_cell_length_a 6.578
_cell_length_b 6.578
_cell_length_c 4.066
_cell_angle_alpha 90.00
_cell_angle_beta 90.00
_cell_angle_gamma 90.00
_symmetry_space_group_name_H-M 'P 4/m m m'
_symmetry_Int_Tables_number 123
_symmetry_space_group_name_Hall '-P 4 2'
loop_
_atom_site_label
_atom_site_fract_x
_atom_site_fract_y
_atom_site_fract_z
Ba1 0.000 0.500 0.000
Te1 0.000 0.000 0.000
H1 0.000 0.000 0.500
Pd1 0.500 0.500 0.500
```

=====

For the records above, the corresponding magnetization values read 0.000; 0.000 μB/cell.